BaLiSi3 | GGA-PBEsol | optimized geometry

Unit cell a=5.613 b=5.613 c=5.613 alpha=90.00 beta=90.00 gamma=90.00
Element x y z (fractional)
Ba (0.000, 0.000, 0.000)
Si (0.000, 0.500, 0.000)
Si (0.500, 0.000, 0.000)
Si (0.000, 0.000, 0.500)
Li (0.500, 0.500, 0.500)

- Uncorrected formation energy: 1.51 eV per atom
- D(E_F): 3.09 states/eV per cell